DyRe2 PBEsol relaxed; E_form = -4.8 kcal/mol of atoms; electronic total energy = -10.757 eV/atom; crystal system = hexagonal; density of states at the Fermi level = 8.38 states/eV/cell; space group = P6_3/mmc (194); magnetic moment = 0.0000 μB/atom
1.0
5.365 0.000 0.000
-2.682 4.646 0.000
0.000 0.000 8.714
Dy Re
4 8
Direct
0.333 0.667 0.062 Dy
0.333 0.667 0.438 Dy
0.667 0.333 0.562 Dy
0.667 0.333 0.938 Dy
0.000 0.000 0.000 Re
0.000 0.000 0.500 Re
0.171 0.341 0.750 Re
0.171 0.829 0.750 Re
0.341 0.171 0.250 Re
0.659 0.829 0.750 Re
0.829 0.171 0.250 Re
0.829 0.659 0.250 Re

=====

TcBrNF2 PBEsol relaxed; electronic total energy = -5.568 eV/atom; crystal system = tetragonal; density of states at the Fermi level = 5.44 states/eV/cell; space group = P4/mmm (123); E_form (uncorrected) = -0.46 eV/atom; magnetic moment = 0.1204 μB/atom
1.0
4.056 0.000 0.000
0.000 4.056 0.000
0.000 0.000 3.849
Tc Br N F
1 1 1 2
Direct
0.000 0.000 0.000 Tc
0.500 0.500 0.500 Br
0.000 0.000 0.500 N
0.000 0.500 0.000 F
0.500 0.000 0.000 F

=====

SrIrCl PBEsol relaxed; electronic total energy = -4.401 eV/atom; crystal system = trigonal; density of states at the Fermi level = 3.96 states/eV/cell; space group = P3m1 (156); E_form (uncorrected) = 0.16 eV/atom; magnetic moment = 0.1730 μB/atom
1.0
3.350 0.000 0.000
-1.675 2.901 0.000
0.000 0.000 6.919
Sr Ir Cl
1 1 1
Direct
0.000 0.000 0.000 Sr
0.333 0.667 0.331 Ir
0.667 0.333 0.707 Cl

=====

IrPtAuN2 PBEsol relaxed; electronic total energy = -6.433 eV/atom; crystal system = tetragonal; density of states at the Fermi level = 3.76 states/eV/cell; space group = P4/mmm (123); E_form (uncorrected) = 1.12 eV/atom; magnetic moment = 0.0001 μB/atom
1.0
3.734 0.000 0.000
0.000 3.734 0.000
0.000 0.000 5.359
Ir Pt Au N
1 1 1 2
Direct
0.000 0.000 0.000 Ir
0.500 0.500 0.500 Pt
0.000 0.000 0.500 Au
0.000 0.500 0.000 N
0.500 0.000 0.000 N

=====

Li4Ti2Mn3V3O16 PBEsol relaxed; electronic total energy = -8.233 eV/atom; crystal system = monoclinic; density of states at the Fermi level = 13.61 states/eV/cell; space group = Cm (8); E_form (uncorrected) = -2.28 eV/atom; magnetic moment = 0.2067 μB/atom
1.0
4.895 -2.847 0.000
4.895 2.847 0.000
-0.095 0.000 9.472
Li Ti Mn V O
4 2 3 3 16
Direct
0.000 0.000 0.000 Li
0.001 0.001 0.512 Li
0.340 0.340 0.597 Li
0.671 0.671 0.111 Li
0.344 0.344 0.006 Ti
0.671 0.671 0.503 Ti
0.172 0.662 0.284 Mn
0.662 0.172 0.284 Mn
0.819 0.819 0.787 Mn
0.172 0.172 0.280 V
0.363 0.831 0.785 V
0.831 0.363 0.785 V
0.000 0.000 0.700 O
0.039 0.483 0.163 O
0.164 0.667 0.898 O
0.170 0.170 0.901 O
0.332 0.839 0.400 O
0.338 0.338 0.391 O
0.483 0.039 0.163 O
0.484 0.484 0.159 O
0.522 0.973 0.656 O
0.523 0.523 0.659 O
0.667 0.164 0.898 O
0.667 0.667 0.912 O
0.837 0.837 0.402 O
0.839 0.332 0.400 O
0.973 0.522 0.656 O
0.998 0.998 0.187 O

=====

BaLi3Ir PBEsol relaxed; E_form = 4.4 kcal/mol of atoms; electronic total energy = -3.383 eV/atom; crystal system = cubic; density of states at the Fermi level = 2.97 states/eV/cell; space group = Pm-3m (221); magnetic moment = 0.0002 μB/atom
1.0
4.839 0.000 0.000
0.000 4.839 0.000
0.000 0.000 4.839
Ba Li Ir
1 3 1
Direct
0.000 0.000 0.000 Ba
0.000 0.500 0.500 Li
0.500 0.000 0.500 Li
0.500 0.500 0.000 Li
0.500 0.500 0.500 Ir

=====

SrZnAs PBEsol relaxed; E_form = -8.6 kcal/mol of atoms; electronic total energy = -3.215 eV/atom; crystal system = orthorhombic; density of states at the Fermi level = 1.31 states/eV/cell; space group = Imm2 (44); magnetic moment = 0.0000 μB/atom
1.0
-1.744 1.846 5.345
1.744 -1.846 5.345
1.744 1.846 -5.345
Sr Zn As
1 1 1
Direct
0.000 0.000 0.000 Sr
0.300 0.300 0.000 Zn
0.699 0.699 0.000 As

=====

Tc2PtW PBEsol relaxed; E_form = -4.0 kcal/mol of atoms; electronic total energy = -11.001 eV/atom; crystal system = tetragonal; density of states at the Fermi level = 2.97 states/eV/cell; space group = P4/mmm (123); magnetic moment = 0.0001 μB/atom
1.0
3.876 0.000 0.000
0.000 3.876 0.000
0.000 0.000 3.857
Tc Pt W
2 1 1
Direct
0.000 0.500 0.000 Tc
0.500 0.000 0.000 Tc
0.000 0.000 0.500 Pt
0.500 0.500 0.500 W